--- A ---
LiMg14Bi: optimized geometry, GGA-PBE.

The structure in POSCAR format:
```
LiMg14Bi
1.0
3.2154 -5.5693 0.0000
3.2154 5.5693 0.0000
0.0000 0.0000 10.3660
Bi Mg Li
1 14 1
direct
0.0000 0.0000 0.5000
0.9992 0.4996 0.5000
0.5004 0.4996 0.5000
0.1685 0.3370 0.7548
0.1685 0.8315 0.2452
0.1685 0.8315 0.7548
0.6630 0.8315 0.7548
0.5010 0.4990 0.0000
0.6667 0.3333 0.2517
0.5010 0.0019 0.0000
0.5004 0.0008 0.5000
0.1685 0.3370 0.2452
0.6667 0.3333 0.7483
0.6630 0.8315 0.2452
0.9981 0.4990 0.0000
0.0000 0.0000 0.0000
```

Symmetry: P-6m2, No. 187
Volume in Å³/atom: 23.204

***

--- B ---
LiMg14Bi: optimized geometry, GGA-PBE.

The structure in POSCAR format:
```
LiMg14Bi
1.0
-0.5657 6.1796 -1.8348
-4.3125 -4.4849 -1.7781
-5.6134 2.0176 8.5258
Li Mg Bi
1 14 1
direct
0.8330 0.1670 0.5000
0.1656 0.3266 0.2488
0.1656 0.3266 0.7512
0.6690 0.3310 0.7479
0.1641 0.8359 0.7522
0.8299 0.1701 0.0000
0.6690 0.3310 0.2521
0.8290 0.6694 0.0000
0.6734 0.8344 0.2488
0.3306 0.1710 0.0000
0.6734 0.8344 0.7512
0.1641 0.8359 0.2478
0.8335 0.6638 0.5000
0.3362 0.1665 0.5000
0.3295 0.6705 0.0000
0.3342 0.6658 0.5000
```

Symmetry: Amm2, No. 38
Volume in Å³/atom: 23.165

***

Compare the structures above. Which one is the least stable? A is.